Record 1
# TbU4S5 PBE optimized geometry
# size of the total moment = 0.963 μB/atom
# V = 20.6 Å³/atom
# ΔE_f (raw) = -1.490 eV/atom
# uncorrected energy = -8.532 eV per atom
data_TbU4S5
_symmetry_space_group_name_H-M 'I 4/m'
_symmetry_Int_Tables_number 87
_symmetry_space_group_name_Hall '-I 4'
_cell_length_a 8.677
_cell_length_b 8.677
_cell_length_c 5.479
_cell_angle_alpha 90.00
_cell_angle_beta 90.00
_cell_angle_gamma 90.00
loop_
_atom_site_label
_atom_site_type_symbol
_atom_site_fract_x
_atom_site_fract_y
_atom_site_fract_z
Tb1 Tb 0.000 0.000 0.000
U1 U 0.101 0.301 0.500
S1 S 0.000 0.000 0.500
S2 S 0.101 0.300 0.000



Record 2
# TbUS2 PBE optimized geometry
# size of the total moment = 0.764 μB/atom
# V = 21.4 Å³/atom
# ΔE_f (raw) = -1.586 eV/atom
# uncorrected energy = -7.630 eV per atom
# excess energy over the best structure of this formula in the dataset = 89.3 meV per atom
data_TbUS2
_symmetry_space_group_name_H-M 'R 3 m'
_symmetry_Int_Tables_number 160
_symmetry_space_group_name_Hall 'R 3 -2"'
_cell_length_a 3.7575
_cell_length_b 3.7575
_cell_length_c 21.0255
_cell_angle_alpha 90.00
_cell_angle_beta 90.00
_cell_angle_gamma 120.00
loop_
_atom_site_label
_atom_site_type_symbol
_atom_site_fract_x
_atom_site_fract_y
_atom_site_fract_z
Tb1 Tb 0.0000 0.0000 0.0000
U1 U 0.0000 0.0000 0.8240
S1 S 0.0000 0.0000 0.4101
S2 S 0.0000 0.0000 0.5805



Record 3
# Tb2U2S7 PBE optimized geometry
# size of the total moment = 0.363 μB/atom
# V = 21.3 Å³/atom
# ΔE_f (raw) = -1.671 eV/atom
# uncorrected energy = -7.191 eV per atom
# excess energy over the best structure of this formula in the dataset = 0.0 meV per atom
data_Tb2U2S7
_symmetry_space_group_name_H-M 'I m m 2'
_symmetry_Int_Tables_number 44
_cell_length_a 3.896
_cell_length_b 14.108
_cell_length_c 8.514
_cell_angle_alpha 90.00
_cell_angle_beta 90.00
_cell_angle_gamma 90.00
loop_
_symmetry_equiv_pos_as_xyz
'x,y,z'
'-x,-y,z'
'-x,y,z'
'x,-y,z'
'x+1/2,y+1/2,z+1/2'
'-x+1/2,-y+1/2,z+1/2'
'-x+1/2,y+1/2,z+1/2'
'x+1/2,-y+1/2,z+1/2'
loop_
_atom_site_label
_atom_site_type_symbol
_atom_site_fract_x
_atom_site_fract_y
_atom_site_fract_z
Tb1 Tb 0.000 0.241 0.000
U1 U 0.000 0.000 0.247
U2 U 0.000 0.500 0.199
S1 S 0.000 0.000 0.925
S2 S 0.000 0.107 0.524
S3 S 0.000 0.317 0.302
S4 S 0.000 0.368 0.693



Record 4
# Tb3U2S8 PBE optimized geometry
# size of the total moment = 0.385 μB/atom
# V = 26.7 Å³/atom
# ΔE_f (raw) = -1.690 eV/atom
# uncorrected energy = -7.035 eV per atom
data_Tb3U2S8
_symmetry_space_group_name_H-M 'C 1 2/m 1'
_symmetry_Int_Tables_number 12
_cell_length_a 14.040
_cell_length_b 7.896
_cell_length_c 6.649
_cell_angle_alpha 90.00
_cell_angle_beta 109.95
_cell_angle_gamma 90.00
loop_
_symmetry_equiv_pos_as_xyz
'x,y,z'
'-x,-y,-z'
'-x,y,-z'
'x,-y,z'
'x+1/2,y+1/2,z'
'-x+1/2,-y+1/2,-z'
'-x+1/2,y+1/2,-z'
'x+1/2,-y+1/2,z'
loop_
_atom_site_label
_atom_site_type_symbol
_atom_site_fract_x
_atom_site_fract_y
_atom_site_fract_z
Tb1 Tb 0.000 0.000 0.000
Tb2 Tb 0.000 0.262 0.500
U1 U 0.238 0.500 0.163
S1 S 0.111 0.500 0.388
S2 S 0.117 0.000 0.429
S3 S 0.127 0.231 0.916



Record 5
# TbU3S6 PBE optimized geometry
# size of the total moment = 0.842 μB/atom
# V = 22.9 Å³/atom
# ΔE_f (raw) = -1.521 eV/atom
# uncorrected energy = -7.847 eV per atom
data_TbU3S6
_symmetry_space_group_name_H-M 'P 1 21/m 1'
_symmetry_Int_Tables_number 11
_cell_length_a 10.924
_cell_length_b 3.874
_cell_length_c 11.365
_cell_angle_alpha 90.00
_cell_angle_beta 107.93
_cell_angle_gamma 90.00
loop_
_symmetry_equiv_pos_as_xyz
'x,y,z'
'-x,-y,-z'
'-x,y+1/2,-z'
'x,-y+1/2,z'
loop_
_atom_site_label
_atom_site_type_symbol
_atom_site_fract_x
_atom_site_fract_y
_atom_site_fract_z
Tb1 Tb 0.046 0.250 0.191
U1 U 0.156 0.250 0.578
U2 U 0.318 0.750 0.000
U3 U 0.430 0.250 0.332
S1 S 0.083 0.750 0.398
S2 S 0.117 0.250 0.964
S3 S 0.193 0.750 0.750
S4 S 0.254 0.750 0.222
S5 S 0.397 0.250 0.561
S6 S 0.489 0.250 0.120



Record 6
# Tb3US6 PBE optimized geometry
# size of the total moment = 0.283 μB/atom
# V = 23.5 Å³/atom
# ΔE_f (raw) = -1.895 eV/atom
# uncorrected energy = -6.890 eV per atom
data_Tb3US6
_symmetry_space_group_name_H-M 'P 1 21/m 1'
_symmetry_Int_Tables_number 11
_cell_length_a 11.084
_cell_length_b 3.945
_cell_length_c 11.318
_cell_angle_alpha 90.00
_cell_angle_beta 108.34
_cell_angle_gamma 90.00
loop_
_symmetry_equiv_pos_as_xyz
'x,y,z'
'-x,-y,-z'
'-x,y+1/2,-z'
'x,-y+1/2,z'
loop_
_atom_site_label
_atom_site_type_symbol
_atom_site_fract_x
_atom_site_fract_y
_atom_site_fract_z
Tb1 Tb 0.070 0.250 0.167
Tb2 Tb 0.180 0.750 0.503
Tb3 Tb 0.340 0.250 0.918
U1 U 0.454 0.250 0.308
S1 S 0.021 0.250 0.386
S2 S 0.102 0.250 0.935
S3 S 0.247 0.750 0.277
S4 S 0.310 0.750 0.749
S5 S 0.388 0.250 0.538
S6 S 0.418 0.750 0.100



Record 7
# TbU2S6 PBE optimized geometry
# size of the total moment = 0.333 μB/atom
# V = 27.0 Å³/atom
# ΔE_f (raw) = -1.399 eV/atom
# uncorrected energy = -7.173 eV per atom
# excess energy over the best structure of this formula in the dataset = 46.0 meV per atom
data_TbU2S6
_symmetry_space_group_name_H-M 'C 1 2/m 1'
_symmetry_Int_Tables_number 12
_cell_length_a 13.475
_cell_length_b 5.115
_cell_length_c 8.805
_cell_angle_alpha 90.00
_cell_angle_beta 126.85
_cell_angle_gamma 90.00
loop_
_symmetry_equiv_pos_as_xyz
'x,y,z'
'-x,-y,-z'
'-x,y,-z'
'x,-y,z'
'x+1/2,y+1/2,z'
'-x+1/2,-y+1/2,-z'
'-x+1/2,y+1/2,-z'
'x+1/2,-y+1/2,z'
loop_
_atom_site_label
_atom_site_type_symbol
_atom_site_fract_x
_atom_site_fract_y
_atom_site_fract_z
Tb1 Tb 0.000 0.000 0.000
U1 U 0.183 0.000 0.609
S1 S 0.038 0.000 0.721
S2 S 0.130 0.500 0.053
S3 S 0.244 0.500 0.624



Record 8
# TbVS2 PBE optimized geometry
# size of the total moment = 0.581 μB/atom
# V = 22.7 Å³/atom
# ΔE_f (raw) = -0.816 eV/atom
# uncorrected energy = -6.317 eV per atom
data_TbVS2
_symmetry_space_group_name_H-M 'R -3 m'
_symmetry_Int_Tables_number 166
_symmetry_space_group_name_Hall '-R 3 2"'
_cell_length_a 3.6336
_cell_length_b 3.6336
_cell_length_c 23.8400
_cell_angle_alpha 90.00
_cell_angle_beta 90.00
_cell_angle_gamma 120.00
loop_
_atom_site_label
_atom_site_type_symbol
_atom_site_fract_x
_atom_site_fract_y
_atom_site_fract_z
Tb1 Tb 0.0000 0.0000 0.0000
V1 V 0.0000 0.0000 0.5000
S1 S 0.0000 0.0000 0.1122



Record 9
# TbVS3 PBE optimized geometry
# size of the total moment = 0.000 μB/atom
# V = 21.0 Å³/atom
# ΔE_f (raw) = -1.368 eV/atom
# uncorrected energy = -6.594 eV per atom
data_TbVS3
_symmetry_space_group_name_H-M 'P 1 21/c 1'
_symmetry_Int_Tables_number 14
_cell_length_a 9.260
_cell_length_b 5.423
_cell_length_c 8.614
_cell_angle_alpha 90.00
_cell_angle_beta 103.77
_cell_angle_gamma 90.00
loop_
_symmetry_equiv_pos_as_xyz
'x,y,z'
'-x,-y,-z'
'-x,y+1/2,-z+1/2'
'x,-y+1/2,z+1/2'
loop_
_atom_site_label
_atom_site_type_symbol
_atom_site_fract_x
_atom_site_fract_y
_atom_site_fract_z
Tb1 Tb 0.137 0.226 0.168
V1 V 0.484 0.749 0.051
S1 S 0.054 0.729 0.133
S2 S 0.304 0.055 0.948
S3 S 0.436 0.591 0.800



Record 10
# TbWS PBE optimized geometry
# size of the total moment = 0.000 μB/atom
# V = 19.6 Å³/atom
# ΔE_f (raw) = -0.866 eV/atom
# uncorrected energy = -8.103 eV per atom
data_TbWS
_symmetry_space_group_name_H-M 'P 4/n m m'
_symmetry_Int_Tables_number 129
_cell_length_a 3.669
_cell_length_b 3.669
_cell_length_c 8.747
_cell_angle_alpha 90.00
_cell_angle_beta 90.00
_cell_angle_gamma 90.00
loop_
_symmetry_equiv_pos_as_xyz
'x,y,z'
'-x,-y,-z'
'-y+1/2,x,z'
'y+1/2,-x,-z'
'-x+1/2,-y+1/2,z'
'x+1/2,y+1/2,-z'
'y,-x+1/2,z'
'-y,x+1/2,-z'
'x+1/2,-y,-z'
'-x+1/2,y,z'
'-y,-x,-z'
'y,x,z'
'-x,y+1/2,-z'
'x,-y+1/2,z'
'y+1/2,x+1/2,-z'
'-y+1/2,-x+1/2,z'
loop_
_atom_site_label
_atom_site_type_symbol
_atom_site_fract_x
_atom_site_fract_y
_atom_site_fract_z
Tb1 Tb 0.250 0.250 0.198
W1 W 0.250 0.250 0.567
S1 S 0.250 0.250 0.856



What did the fifth record say?
# TbU3S6 PBE optimized geometry
# size of the total moment = 0.842 μB/atom
# V = 22.9 Å³/atom
# ΔE_f (raw) = -1.521 eV/atom
# uncorrected energy = -7.847 eV per atom
data_TbU3S6
_symmetry_space_group_name_H-M 'P 1 21/m 1'
_symmetry_Int_Tables_number 11
_cell_length_a 10.924
_cell_length_b 3.874
_cell_length_c 11.365
_cell_angle_alpha 90.00
_cell_angle_beta 107.93
_cell_angle_gamma 90.00
loop_
_symmetry_equiv_pos_as_xyz
'x,y,z'
'-x,-y,-z'
'-x,y+1/2,-z'
'x,-y+1/2,z'
loop_
_atom_site_label
_atom_site_type_symbol
_atom_site_fract_x
_atom_site_fract_y
_atom_site_fract_z
Tb1 Tb 0.046 0.250 0.191
U1 U 0.156 0.250 0.578
U2 U 0.318 0.750 0.000
U3 U 0.430 0.250 0.332
S1 S 0.083 0.750 0.398
S2 S 0.117 0.250 0.964
S3 S 0.193 0.750 0.750
S4 S 0.254 0.750 0.222
S5 S 0.397 0.250 0.561
S6 S 0.489 0.250 0.120